# MnTcAs (PBE-GGA, relaxed)
# - Formation energy from the elements: 0.298 eV/atom
# - Total moment: 11.67 μB/cell
data_MnTcAs
_cell_length_a 3.187
_cell_length_b 4.761
_cell_length_c 11.795
_cell_angle_alpha 90.00
_cell_angle_beta 90.00
_cell_angle_gamma 90.00
_space_group_name_H-M_alt 'F m m 2'
_space_group_IT_number 42
_space_group_name_Hall 'F 2 -2'
loop_
_atom_site_label
_atom_site_type_symbol
_atom_site_fract_x
_atom_site_fract_y
_atom_site_fract_z
Mn1 Mn 0.000 0.000 0.000
Tc1 Tc 0.000 0.000 0.671
As1 As 0.000 0.000 0.337

# Mn4TcAs (PBE-GGA, relaxed)
# - Formation energy from the elements: 0.285 eV/atom
# - Total moment: 11.62 μB/cell
data_Mn4TcAs
_cell_length_a 6.658
_cell_length_b 6.658
_cell_length_c 6.658
_cell_angle_alpha 90.00
_cell_angle_beta 90.00
_cell_angle_gamma 90.00
_space_group_name_H-M_alt 'F -4 3 m'
_space_group_IT_number 216
_space_group_name_Hall 'F -4 2 3'
loop_
_atom_site_label
_atom_site_type_symbol
_atom_site_fract_x
_atom_site_fract_y
_atom_site_fract_z
Mn1 Mn 0.124 0.124 0.376
Tc1 Tc 0.000 0.000 0.000
As1 As 0.250 0.250 0.750

# MnTcAs (PBE-GGA, relaxed)
# - Formation energy from the elements: 0.055 eV/atom
# - Total moment: 0.00 μB/cell
data_MnTcAs
_cell_length_a 2.924
_cell_length_b 2.924
_cell_length_c 9.292
_cell_angle_alpha 90.00
_cell_angle_beta 90.00
_cell_angle_gamma 90.00
_space_group_name_H-M_alt 'I 4 m m'
_space_group_IT_number 107
_space_group_name_Hall 'I 4 -2'
loop_
_atom_site_label
_atom_site_type_symbol
_atom_site_fract_x
_atom_site_fract_y
_atom_site_fract_z
Mn1 Mn 0.000 0.000 0.000
Tc1 Tc 0.000 0.000 0.322
As1 As 0.000 0.000 0.648

# MnTc2As (PBE-GGA, relaxed)
# - Formation energy from the elements: 0.220 eV/atom
# - Total moment: 5.83 μB/cell
data_MnTc2As
_cell_length_a 5.422
_cell_length_b 8.331
_cell_length_c 2.844
_cell_angle_alpha 90.00
_cell_angle_beta 115.14
_cell_angle_gamma 90.00
_space_group_name_H-M_alt 'C 1 2/m 1'
_space_group_IT_number 12
loop_
_space_group_symop_operation_xyz
'x,y,z'
'-x,-y,-z'
'-x,y,-z'
'x,-y,z'
'x+1/2,y+1/2,z'
'-x+1/2,-y+1/2,-z'
'-x+1/2,y+1/2,-z'
'x+1/2,-y+1/2,z'
loop_
_atom_site_label
_atom_site_type_symbol
_atom_site_fract_x
_atom_site_fract_y
_atom_site_fract_z
Mn1 Mn 0.000 0.000 0.000
Tc1 Tc 0.250 0.250 0.500
As1 As 0.000 0.500 0.000

# MnTc2As (PBE-GGA, relaxed)
# - Formation energy from the elements: 0.099 eV/atom
# - Total moment: 4.13 μB/cell
data_MnTc2As
_cell_length_a 3.043
_cell_length_b 4.354
_cell_length_c 8.644
_cell_angle_alpha 90.00
_cell_angle_beta 90.00
_cell_angle_gamma 90.00
_space_group_name_H-M_alt 'I m m m'
_space_group_IT_number 71
_space_group_name_Hall '-I 2 2'
loop_
_atom_site_label
_atom_site_type_symbol
_atom_site_fract_x
_atom_site_fract_y
_atom_site_fract_z
Mn1 Mn 0.000 0.000 0.000
Tc1 Tc 0.000 0.500 0.224
As1 As 0.000 0.000 0.500

# Mn2TcAs (PBE-GGA, relaxed)
# - Formation energy from the elements: -0.011 eV/atom
# - Total moment: 1.90 μB/cell
data_Mn2TcAs
_cell_length_a 3.019
_cell_length_b 4.164
_cell_length_c 4.194
_cell_angle_alpha 90.00
_cell_angle_beta 90.00
_cell_angle_gamma 90.00
_space_group_name_H-M_alt 'P m m m'
_space_group_IT_number 47
loop_
_space_group_symop_operation_xyz
'x,y,z'
'-x,-y,-z'
'-x,-y,z'
'x,y,-z'
'x,-y,-z'
'-x,y,z'
'-x,y,-z'
'x,-y,z'
loop_
_atom_site_label
_atom_site_type_symbol
_atom_site_fract_x
_atom_site_fract_y
_atom_site_fract_z
Mn1 Mn 0.000 0.000 0.000
Mn2 Mn 0.500 0.500 0.000
Tc1 Tc 0.000 0.500 0.500
As1 As 0.500 0.000 0.500

# MnTc2As (PBE-GGA, relaxed)
# - Formation energy from the elements: 0.099 eV/atom
# - Total moment: 4.12 μB/cell
data_MnTc2As
_cell_length_a 8.582
_cell_length_b 2.888
_cell_length_c 4.691
_cell_angle_alpha 90.00
_cell_angle_beta 98.86
_cell_angle_gamma 90.00
_space_group_name_H-M_alt 'C 1 2/m 1'
_space_group_IT_number 12
loop_
_space_group_symop_operation_xyz
'x,y,z'
'-x,-y,-z'
'-x,y,-z'
'x,-y,z'
'x+1/2,y+1/2,z'
'-x+1/2,-y+1/2,-z'
'-x+1/2,y+1/2,-z'
'x+1/2,-y+1/2,z'
loop_
_atom_site_label
_atom_site_type_symbol
_atom_site_fract_x
_atom_site_fract_y
_atom_site_fract_z
Mn1 Mn 0.000 0.000 0.000
Tc1 Tc 0.237 0.500 0.236
As1 As 0.000 0.500 0.500

# MnTc2As (PBE-GGA, relaxed)
# - Formation energy from the elements: 0.066 eV/atom
# - Total moment: 2.87 μB/cell
data_MnTc2As
_cell_length_a 2.908
_cell_length_b 3.870
_cell_length_c 5.112
_cell_angle_alpha 90.00
_cell_angle_beta 90.00
_cell_angle_gamma 90.00
_space_group_name_H-M_alt 'P m m 2'
_space_group_IT_number 25
loop_
_space_group_symop_operation_xyz
'x,y,z'
'-x,-y,z'
'-x,y,z'
'x,-y,z'
loop_
_atom_site_label
_atom_site_type_symbol
_atom_site_fract_x
_atom_site_fract_y
_atom_site_fract_z
Mn1 Mn 0.000 0.000 0.000
Tc1 Tc 0.000 0.000 0.496
Tc2 Tc 0.500 0.500 0.256
As1 As 0.500 0.500 0.759

# MnTc2As (PBE-GGA, relaxed)
# - Formation energy from the elements: 0.346 eV/atom
# - Total moment: 5.64 μB/cell
data_MnTc2As
_cell_length_a 3.052
_cell_length_b 4.761
_cell_length_c 8.162
_cell_angle_alpha 90.00
_cell_angle_beta 90.00
_cell_angle_gamma 90.00
_space_group_name_H-M_alt 'C m m m'
_space_group_IT_number 65
_space_group_name_Hall '-C 2 2'
loop_
_atom_site_label
_atom_site_type_symbol
_atom_site_fract_x
_atom_site_fract_y
_atom_site_fract_z
Mn1 Mn 0.000 0.000 0.000
Tc1 Tc 0.000 0.500 0.253
As1 As 0.000 0.000 0.500

# MnTc2As (PBE-GGA, relaxed)
# - Formation energy from the elements: 0.144 eV/atom
# - Total moment: 3.89 μB/cell
data_MnTc2As
_cell_length_a 2.8083
_cell_length_b 2.8083
_cell_length_c 24.6893
_cell_angle_alpha 90.00
_cell_angle_beta 90.00
_cell_angle_gamma 120.00
_space_group_name_H-M_alt 'R 3 m'
_space_group_IT_number 160
_space_group_name_Hall 'R 3 -2"'
loop_
_atom_site_label
_atom_site_type_symbol
_atom_site_fract_x
_atom_site_fract_y
_atom_site_fract_z
Mn1 Mn 0.0000 0.0000 0.0000
Tc1 Tc 0.0000 0.0000 0.2511
Tc2 Tc 0.0000 0.0000 0.4971
As1 As 0.0000 0.0000 0.7440

# MnTc2As (PBE-GGA, relaxed)
# - Formation energy from the elements: 0.213 eV/atom
# - Total moment: 0.06 μB/cell
data_MnTc2As
_cell_length_a 3.005
_cell_length_b 4.206
_cell_length_c 4.367
_cell_angle_alpha 90.00
_cell_angle_beta 90.00
_cell_angle_gamma 90.00
_space_group_name_H-M_alt 'P m m m'
_space_group_IT_number 47
loop_
_space_group_symop_operation_xyz
'x,y,z'
'-x,-y,-z'
'-x,-y,z'
'x,y,-z'
'x,-y,-z'
'-x,y,z'
'-x,y,-z'
'x,-y,z'
loop_
_atom_site_label
_atom_site_type_symbol
_atom_site_fract_x
_atom_site_fract_y
_atom_site_fract_z
Mn1 Mn 0.000 0.000 0.000
Tc1 Tc 0.000 0.500 0.500
Tc2 Tc 0.500 0.500 0.000
As1 As 0.500 0.000 0.500

# Mn2Tc2As (PBE-GGA, relaxed)
# - Formation energy from the elements: 0.308 eV/atom
# - Total moment: 0.00 μB/cell
data_Mn2Tc2As
_cell_length_a 7.143
_cell_length_b 7.143
_cell_length_c 2.767
_cell_angle_alpha 90.00
_cell_angle_beta 90.00
_cell_angle_gamma 90.00
_space_group_name_H-M_alt 'P 4/m b m'
_space_group_IT_number 127
_space_group_name_Hall '-P 4 2ab'
loop_
_atom_site_label
_atom_site_type_symbol
_atom_site_fract_x
_atom_site_fract_y
_atom_site_fract_z
Mn1 Mn 0.132 0.368 0.000
Tc1 Tc 0.154 0.654 0.500
As1 As 0.000 0.000 0.500

# MnTc2As (PBE-GGA, relaxed)
# - Formation energy from the elements: 0.031 eV/atom
# - Total moment: 0.00 μB/cell
data_MnTc2As
_cell_length_a 2.921
_cell_length_b 2.921
_cell_length_c 6.364
_cell_angle_alpha 90.00
_cell_angle_beta 90.00
_cell_angle_gamma 90.00
_space_group_name_H-M_alt 'P 4 m m'
_space_group_IT_number 99
loop_
_space_group_symop_operation_xyz
'x,y,z'
'-y,x,z'
'-x,-y,z'
'y,-x,z'
'-x,y,z'
'y,x,z'
'x,-y,z'
'-y,-x,z'
loop_
_atom_site_label
_atom_site_type_symbol
_atom_site_fract_x
_atom_site_fract_y
_atom_site_fract_z
Mn1 Mn 0.000 0.000 0.000
Tc1 Tc 0.000 0.000 0.528
Tc2 Tc 0.500 0.500 0.261
As1 As 0.500 0.500 0.793

# MnTcAs4 (PBE-GGA, relaxed)
# - Formation energy from the elements: 0.815 eV/atom
# - Total moment: 8.36 μB/cell
data_MnTcAs4
_cell_length_a 7.639
_cell_length_b 7.639
_cell_length_c 7.639
_cell_angle_alpha 90.00
_cell_angle_beta 90.00
_cell_angle_gamma 90.00
_space_group_name_H-M_alt 'F -4 3 m'
_space_group_IT_number 216
_space_group_name_Hall 'F -4 2 3'
loop_
_atom_site_label
_atom_site_type_symbol
_atom_site_fract_x
_atom_site_fract_y
_atom_site_fract_z
Mn1 Mn 0.000 0.000 0.000
Tc1 Tc 0.250 0.250 0.250
As1 As 0.125 0.125 0.625

# MnTc2As (PBE-GGA, relaxed)
# - Formation energy from the elements: 0.224 eV/atom
# - Total moment: 1.89 μB/cell
data_MnTc2As
_cell_length_a 6.029
_cell_length_b 6.029
_cell_length_c 6.029
_cell_angle_alpha 90.00
_cell_angle_beta 90.00
_cell_angle_gamma 90.00
_space_group_name_H-M_alt 'F -4 3 m'
_space_group_IT_number 216
_space_group_name_Hall 'F -4 2 3'
loop_
_atom_site_label
_atom_site_type_symbol
_atom_site_fract_x
_atom_site_fract_y
_atom_site_fract_z
Mn1 Mn 0.000 0.000 0.000
Tc1 Tc 0.000 0.000 0.500
Tc2 Tc 0.250 0.250 0.250
As1 As 0.250 0.250 0.750